1.
DFT (GGA-PBE) results for a geometry-optimized KDyAg2 structure.

Cell: 3.7493 3.7493 8.2245 Å, 90.00 90.00 90.00°
With the nearest neighbours (Å) after each atom.
Element x y z (fractional)
K 0.5000 0.5000 0.5000  8 Ag 3.70, 4 K 3.75, 2 Dy 4.11
Ag 0.0000 0.0000 0.8142  1 Ag 3.06, 4 Dy 3.06
Ag 0.0000 0.0000 0.1858  1 Ag 3.06, 4 Dy 3.06
Dy 0.5000 0.5000 0.0000  8 Ag 3.06

Values from the calculation:
ΔH_f (0 K): -0.1174 eV per atom
Space group: P4/mmm (123)
V: 28.904 Å³ per atom
Fermi-level density of states: 1.90 states/eV per cell

=====

2.
DFT (GGA-PBE) results for a geometry-optimized BaHo2Te4 structure.

Cell: 4.4894 7.6307 15.3334 Å, 90.00 90.00 107.11°
With the nearest neighbours (Å) after each atom.
Element x y z (fractional)
Te 0.2313 0.4627 0.8874  3 Ho 3.06-3.08
Te 0.0666 0.1331 0.2500  2 Ho 2.99
Te 0.7687 0.5373 0.1126  3 Ho 3.06-3.08
Te 0.5000 0.0000 0.5000  4 Ho 3.15
Te 0.9334 0.8669 0.7500  2 Ho 2.99
Te 0.2313 0.4627 0.6126  3 Ho 3.06-3.08
Te 0.5000 0.0000 0.0000  4 Ho 3.15
Te 0.7687 0.5373 0.3874  3 Ho 3.06-3.08
Ho 0.1344 0.2689 0.0659  6 Te 2.99-3.15
Ho 0.8656 0.7311 0.5659  6 Te 2.99-3.15
Ho 0.1344 0.2689 0.4341  6 Te 2.99-3.15
Ho 0.8656 0.7311 0.9341  6 Te 2.99-3.15
Ba 0.3893 0.7785 0.2500  6 Te 3.42-3.55
Ba 0.6107 0.2215 0.7500  6 Te 3.42-3.55

Values from the calculation:
ΔE_f (raw): -1508 meV per atom
Space group: Cmcm (63)
V: 35.860 Å³ per atom

=====

3.
DFT (GGA-PBE) results for a geometry-optimized NaPdSe structure.

Cell: 4.2992 6.9361 11.8779 Å, 90.94 90.00 90.00°
With the nearest neighbours (Å) after each atom.
Element x y z (fractional)
Pd 0.2500 0.0023 0.0834  4 Se 2.59-2.85, 1 Pd 2.80
Pd 0.7500 0.9977 0.9166  4 Se 2.59-2.85, 1 Pd 2.80
Pd 0.7500 0.1547 0.5340  4 Se 2.57-2.74
Pd 0.2500 0.3444 0.2122  4 Se 2.56-2.70, 1 Pd 2.80
Pd 0.7500 0.6556 0.7878  4 Se 2.56-2.70, 1 Pd 2.80
Pd 0.2500 0.8453 0.4660  4 Se 2.57-2.74
Se 0.7500 0.2204 0.0941  5 Pd 2.59-2.70, 1 Na 2.87
Se 0.7500 0.7873 0.5783  4 Pd 2.57-2.66
Se 0.2500 0.2127 0.4217  4 Pd 2.57-2.66
Se 0.7500 0.2909 0.7518  3 Pd 2.56-2.85
Se 0.2500 0.7796 0.9059  5 Pd 2.59-2.70, 1 Na 2.87
Se 0.2500 0.7091 0.2482  3 Pd 2.56-2.85
Na 0.2500 0.4804 0.6237  5 Se 2.95-3.08, 5 Pd 3.13-3.28
Na 0.7500 0.5196 0.3763  5 Se 2.95-3.08, 5 Pd 3.13-3.28
Na 0.7500 0.9907 0.2927  5 Se 2.87-3.04, 3 Pd 3.07-3.15
Na 0.2500 0.3491 0.9199  5 Se 2.96-3.12, 3 Pd 3.12-3.25
Na 0.2500 0.0093 0.7073  5 Se 2.87-3.04, 3 Pd 3.07-3.15
Na 0.7500 0.6509 0.0801  5 Se 2.96-3.12, 3 Pd 3.12-3.25

Values from the calculation:
ΔE_f (raw): -583 meV per atom
Space group: P2_1/m (11)
V: 19.675 Å³ per atom
Fermi-level density of states: 12.58 states/eV per cell

=====

4.
DFT (GGA-PBE) results for a geometry-optimized CaCdSi2Mo structure.

Cell: 4.7390 5.2592 4.7390 Å, 90.00 90.00 90.00°
With the nearest neighbours (Å) after each atom.
Element x y z (fractional)
Mo 0.0000 0.0000 0.0000  4 Si 2.37, 2 Cd 2.63
Cd 0.0000 0.5000 0.0000  2 Mo 2.63
Ca 0.5000 0.5000 0.5000  4 Cd 3.35, 8 Si 3.54
Si 0.0000 0.0000 0.5000  2 Mo 2.37
Si 0.5000 0.0000 0.0000  2 Mo 2.37

Values from the calculation:
ΔE_f (raw): 82 meV per atom
Space group: P4/mmm (123)
V: 23.622 Å³ per atom
Fermi-level density of states: 1.65 states/eV per cell